NaCdAgS2 after structural relaxation. Source: the Alexandria database, functional PBE.

```
NaCdAgS2
1.0
4.088 0.000 0.000
-2.044 7.328 0.056
0.000 -1.684 8.006
Ag Na S Cd
2 2 4 2
Direct
0.372 0.744 0.954
0.628 0.256 0.046
0.282 0.564 0.300
0.718 0.436 0.700
0.868 0.736 0.137
0.634 0.268 0.356
0.132 0.264 0.863
0.366 0.732 0.644
0.033 0.067 0.269
0.967 0.933 0.731
```

Results
- SG: C2/m (12)
- ΔE_f (raw): -2.82 eV per formula unit
- Volume: 24.02 Å³ per atom
- ρ: 4.3 g/cm3